{"formula": "FeHgP2O", "functional": "GGA+U", "state": "relaxed", "lattice_angstrom": [[5.037, 0.000, 0.000], [0.000, 5.037, 0.000], [0.000, 0.000, 4.036]], "species": ["Fe", "Hg", "P", "P", "O"], "fractional_positions": [[0.000, 0.000, 0.000], [0.500, 0.500, 0.500], [0.000, 0.500, 0.500], [0.500, 0.000, 0.500], [0.500, 0.500, 0.000]], "total_magnetization_mub_per_cell": 3.8, "crystal_system": "tetragonal", "dft_energy_ev_per_atom": -3.01}